No. 1
Entry from Alexandria via LeMat-Bulk: a geometry-optimized TlRh3 structure (PBE).

**Calculated volume**: 16.1 Å³/atom

abc: 4.634 5.720 4.850
angles: 90.00 90.00 90.00
Space group Pmmn (No. 59, origin choice 2)
Unique sites:
Tl (0.250, 0.250, 0.162)
Rh (0.250, 0.000, 0.663)
Rh (0.250, 0.750, 0.183)

No. 2
Entry from Alexandria via LeMat-Bulk: a geometry-optimized KGa3Mo structure (PBE).

**Calculated volume**: 25.1 Å³/atom
**Energy above the most stable polymorph in this dataset**: 0 meV/atom

abc: 5.007 5.007 5.007
angles: 90.00 90.00 90.00
Space group Pm-3m (No. 221)
Unique sites:
K (0.000, 0.000, 0.000)
Ga (0.000, 0.500, 0.500)
Mo (0.500, 0.500, 0.500)

No. 3
Entry from Alexandria via LeMat-Bulk: a geometry-optimized TbPr2InC structure (PBE).

**Calculated volume**: 26.6 Å³/atom

abc: 5.180 5.180 4.965
angles: 90.00 90.00 90.00
Space group P4/mmm (No. 123)
Unique sites:
Tb (0.000, 0.000, 0.000)
Pr (0.000, 0.500, 0.500)
In (0.500, 0.500, 0.000)
C (0.000, 0.000, 0.500)

No. 4
Entry from Alexandria via LeMat-Bulk: a geometry-optimized Sm3Zn8Ga3 structure (PBE).

**Calculated volume**: 18.9 Å³/atom

abc: 4.331 9.664 12.655
angles: 90.00 90.00 90.00
Space group Immm (No. 71)
Unique sites:
Sm (0.000, 0.000, 0.000)
Sm (0.000, 0.000, 0.313)
Zn (0.000, 0.271, 0.142)
Zn (0.000, 0.370, 0.336)
Ga (0.000, 0.217, 0.500)
Ga (0.000, 0.500, 0.000)

No. 5
Entry from Alexandria via LeMat-Bulk: a geometry-optimized MnCr4 structure (PBE).

**Calculated volume**: 11.9 Å³/atom
**Energy above the most stable polymorph in this dataset**: 441 meV/atom

abc: 5.162 5.162 4.470
angles: 90.00 90.00 90.00
Space group P4/mcc (No. 124)
Unique sites:
Mn (0.000, 0.000, 0.250)
Cr (0.190, 0.376, 0.000)

No. 6
Entry from Alexandria via LeMat-Bulk: a geometry-optimized Ta4SiC structure (PBE).

**Uncorrected formation energy**: -0.2580 eV per atom
**Calculated volume**: 15.6 Å³/atom

abc: 12.586 5.191 6.018
angles: 90.00 107.43 90.00
Space group C2/c (No. 15)
Unique sites:
Ta (0.091, 0.102, 0.459)
Ta (0.190, 0.404, 0.145)
Si (0.000, 0.376, 0.750)
C (0.250, 0.250, 0.500)

no.,raw total energy (eV per atom),total moment (μB/cell)
1,-5.953,0.0
2,-4.158,0.0
3,-5.568,0.0
4,-2.774,0.0
5,-9.073,0.0
6,-10.601,0.0